Computed, not measured: a geometry-optimized ZrNiP structure at the GGA-PBE level of DFT.

Cell: 3.734 6.327 10.981 Å, 89.72 90.00 90.00°
Positions (direct):
Zr (0.750, 0.518, 0.379)
Zr (0.250, 0.973, 0.706)
Zr (0.750, 0.027, 0.294)
Zr (0.750, 0.657, 0.077)
Zr (0.250, 0.482, 0.621)
Zr (0.250, 0.343, 0.923)
Ni (0.250, 0.992, 0.088)
Ni (0.250, 0.845, 0.454)
Ni (0.750, 0.634, 0.806)
Ni (0.750, 0.155, 0.546)
Ni (0.250, 0.366, 0.194)
Ni (0.750, 0.008, 0.912)
P (0.250, 0.771, 0.911)
P (0.750, 0.275, 0.753)
P (0.750, 0.779, 0.571)
P (0.750, 0.229, 0.089)
P (0.250, 0.221, 0.429)
P (0.250, 0.725, 0.247)

size of the total moment: 0.00 μB/f.u.
formation energy from the elements: -1.08 eV per atom
electronic total energy: -7.660 eV/atom



Computed, not measured: a geometry-optimized Zr9Ni2P4 structure at the GGA-PBE level of DFT.

Cell: 12.093 12.093 3.691 Å, 90.00 90.00 90.00°
Positions (direct):
Zr (0.000, 0.000, 0.000)
Zr (0.500, 0.500, 0.000)
Zr (0.103, 0.181, 0.500)
Zr (0.181, 0.897, 0.500)
Zr (0.819, 0.103, 0.500)
Zr (0.897, 0.819, 0.500)
Zr (0.397, 0.681, 0.500)
Zr (0.603, 0.319, 0.500)
Zr (0.681, 0.603, 0.500)
Zr (0.319, 0.397, 0.500)
Zr (0.096, 0.404, 0.000)
Zr (0.404, 0.904, 0.000)
Zr (0.596, 0.096, 0.000)
Zr (0.904, 0.596, 0.000)
Zr (0.381, 0.119, 0.500)
Zr (0.119, 0.619, 0.500)
Zr (0.881, 0.381, 0.500)
Zr (0.619, 0.881, 0.500)
Ni (0.254, 0.246, 0.000)
Ni (0.246, 0.746, 0.000)
Ni (0.754, 0.254, 0.000)
Ni (0.746, 0.754, 0.000)
P (0.225, 0.056, 0.000)
P (0.056, 0.775, 0.000)
P (0.944, 0.225, 0.000)
P (0.775, 0.944, 0.000)
P (0.275, 0.556, 0.000)
P (0.725, 0.444, 0.000)
P (0.556, 0.725, 0.000)
P (0.444, 0.275, 0.000)

size of the total moment: 0.00 μB/f.u.
formation energy from the elements: -0.98 eV per atom
electronic total energy: -8.324 eV/atom



Computed, not measured: a geometry-optimized ZrNiP structure at the GGA-PBE level of DFT.

Cell: 5.325 5.142 3.143 Å, 75.73 69.38 34.89°
Positions (direct):
Zr (0.669, 0.669, 0.331)
Ni (0.970, 0.970, 0.030)
P (0.362, 0.362, 0.638)

size of the total moment: 0.00 μB/f.u.
formation energy from the elements: -0.51 eV per atom
electronic total energy: -7.092 eV/atom



Number 3 is which compound?
ZrNiP